No. 1
Entry from the Alexandria database: an optimized crystal structure of PaAgRu (PBE-GGA).

Results
* ΔH_f (0 K): -0.07 eV/atom
* D(E_F): 1.93 states/eV/f.u.
* E_tot: -43.64 eV/cell
* space-group type: No. 12
* total magnetization: 0.0 μB per formula unit

The structure in CIF format:
```
data_PaAgRu
_cell_length_a 4.236
_cell_length_b 5.062
_cell_length_c 6.518
_cell_angle_alpha 95.99
_cell_angle_beta 90.00
_cell_angle_gamma 114.73
_symmetry_space_group_name_H-M 'P 1'
_symmetry_Int_Tables_number 1
_symmetry_space_group_name_Hall 'P 1'
loop_
_atom_site_label
_atom_site_fract_x
_atom_site_fract_y
_atom_site_fract_z
Ag1 0.853 0.706 0.064
Ru1 0.302 0.604 0.366
Ag2 0.147 0.294 0.936
Ru2 0.698 0.396 0.634
Pa1 0.433 0.865 0.727
Pa2 0.567 0.135 0.273
```

=====

No. 2
Entry from the Alexandria database: an optimized crystal structure of PaAgRu2 (PBE-GGA).

Results
* ΔH_f (0 K): -0.23 eV/atom
* D(E_F): 5.51 states/eV/f.u.
* E_tot: -31.83 eV/cell
* space-group type: No. 123
* total magnetization: 0.4 μB per formula unit
* relative energy among the computed polymorphs: 0 meV per atom

The structure in CIF format:
```
data_PaAgRu2
_cell_length_a 3.790
_cell_length_b 4.289
_cell_length_c 4.289
_cell_angle_alpha 90.00
_cell_angle_beta 90.00
_cell_angle_gamma 90.00
_symmetry_space_group_name_H-M 'P 1'
_symmetry_Int_Tables_number 1
_symmetry_space_group_name_Hall 'P 1'
loop_
_atom_site_label
_atom_site_fract_x
_atom_site_fract_y
_atom_site_fract_z
Pa1 0.500 0.500 0.500
Ag1 0.500 0.000 0.000
Ru1 0.000 0.000 0.500
Ru2 0.000 0.500 0.000
```

=====

No. 3
Entry from the Alexandria database: an optimized crystal structure of Pa2AgRu (PBE-GGA).

Results
* ΔH_f (0 K): 0.22 eV/atom
* D(E_F): 6.69 states/eV/f.u.
* E_tot: -30.23 eV/cell
* space-group type: No. 166
* total magnetization: 0.0 μB per formula unit
* relative energy among the computed polymorphs: 339 meV per atom

The structure in CIF format:
```
data_Pa2AgRu
_cell_length_a 3.075
_cell_length_b 3.075
_cell_length_c 10.877
_cell_angle_alpha 81.87
_cell_angle_beta 81.87
_cell_angle_gamma 60.00
_symmetry_space_group_name_H-M 'P 1'
_symmetry_Int_Tables_number 1
_symmetry_space_group_name_Hall 'P 1'
loop_
_atom_site_label
_atom_site_fract_x
_atom_site_fract_y
_atom_site_fract_z
Pa1 0.095 0.095 0.714
Ag1 0.000 0.000 0.000
Ru1 0.500 0.500 0.500
Pa2 0.905 0.905 0.286
```

=====

No. 4
Entry from the Alexandria database: an optimized crystal structure of PaAgRu2 (PBE-GGA).

Results
* ΔH_f (0 K): -0.10 eV/atom
* D(E_F): 3.15 states/eV/f.u.
* E_tot: -31.29 eV/cell
* space-group type: No. 225
* total magnetization: 0.0 μB per formula unit
* relative energy among the computed polymorphs: 136 meV per atom

The structure in CIF format:
```
data_PaAgRu2
_cell_length_a 4.641
_cell_length_b 4.641
_cell_length_c 4.641
_cell_angle_alpha 60.00
_cell_angle_beta 60.00
_cell_angle_gamma 60.00
_symmetry_space_group_name_H-M 'P 1'
_symmetry_Int_Tables_number 1
_symmetry_space_group_name_Hall 'P 1'
loop_
_atom_site_label
_atom_site_fract_x
_atom_site_fract_y
_atom_site_fract_z
Pa1 0.500 0.500 0.500
Ru1 0.750 0.750 0.750
Ag1 0.000 0.000 0.000
Ru2 0.250 0.250 0.250
```

=====

No. 5
Entry from the Alexandria database: an optimized crystal structure of SmPaAgRu (PBE-GGA).

Results
* ΔH_f (0 K): -0.05 eV/atom
* D(E_F): 5.34 states/eV/f.u.
* E_tot: -26.54 eV/cell
* space-group type: No. 216
* total magnetization: 0.0 μB per formula unit

The structure in CIF format:
```
data_SmPaAgRu
_cell_length_a 5.013
_cell_length_b 5.013
_cell_length_c 5.013
_cell_angle_alpha 60.00
_cell_angle_beta 60.00
_cell_angle_gamma 60.00
_symmetry_space_group_name_H-M 'P 1'
_symmetry_Int_Tables_number 1
_symmetry_space_group_name_Hall 'P 1'
loop_
_atom_site_label
_atom_site_fract_x
_atom_site_fract_y
_atom_site_fract_z
Pa1 0.750 0.750 0.750
Sm1 0.250 0.250 0.250
Ag1 0.500 0.500 0.500
Ru1 0.000 0.000 0.000
```

=====

No. 6
Entry from the Alexandria database: an optimized crystal structure of Pa3Ag3S8 (PBE-GGA).

Results
* D(E_F): 11.17 states/eV/f.u.
* E_tot: -85.21 eV/cell
* space-group type: No. 166
* total magnetization: 2.1 μB per formula unit

The structure in CIF format:
```
data_Pa3Ag3S8
_cell_length_a 7.715
_cell_length_b 7.715
_cell_length_c 7.715
_cell_angle_alpha 63.91
_cell_angle_beta 63.91
_cell_angle_gamma 63.91
_symmetry_space_group_name_H-M 'P 1'
_symmetry_Int_Tables_number 1
_symmetry_space_group_name_Hall 'P 1'
loop_
_atom_site_label
_atom_site_fract_x
_atom_site_fract_y
_atom_site_fract_z
S1 0.226 0.751 0.751
Pa1 0.000 0.500 0.000
S2 0.774 0.249 0.249
S3 0.249 0.774 0.249
Pa2 0.500 0.000 0.000
Ag1 0.613 0.613 0.613
Ag2 0.387 0.387 0.387
S4 0.751 0.751 0.226
S5 0.756 0.756 0.756
Pa3 0.000 0.000 0.500
Ag3 0.000 0.000 0.000
S6 0.751 0.226 0.751
S7 0.244 0.244 0.244
S8 0.249 0.249 0.774
```

=====

No. 7
Entry from the Alexandria database: an optimized crystal structure of Pa2AgS (PBE-GGA).

Results
* D(E_F): 6.77 states/eV/f.u.
* E_tot: -26.75 eV/cell
* space-group type: No. 166
* total magnetization: 0.0 μB per formula unit

The structure in CIF format:
```
data_Pa2AgS
_cell_length_a 3.299
_cell_length_b 3.299
_cell_length_c 10.274
_cell_angle_alpha 80.76
_cell_angle_beta 80.76
_cell_angle_gamma 60.00
_symmetry_space_group_name_H-M 'P 1'
_symmetry_Int_Tables_number 1
_symmetry_space_group_name_Hall 'P 1'
loop_
_atom_site_label
_atom_site_fract_x
_atom_site_fract_y
_atom_site_fract_z
Ag1 0.000 0.000 0.000
Pa1 0.898 0.898 0.307
S1 0.500 0.500 0.500
Pa2 0.102 0.102 0.693
```

=====

No. 8
Entry from the Alexandria database: an optimized crystal structure of PaAg5S6 (PBE-GGA).

Results
* D(E_F): 6.07 states/eV/f.u.
* E_tot: -53.91 eV/cell
* space-group type: No. 12
* total magnetization: 0.0 μB per formula unit

The structure in CIF format:
```
data_PaAg5S6
_cell_length_a 6.681
_cell_length_b 6.808
_cell_length_c 6.599
_cell_angle_alpha 58.95
_cell_angle_beta 79.60
_cell_angle_gamma 69.51
_symmetry_space_group_name_H-M 'P 1'
_symmetry_Int_Tables_number 1
_symmetry_space_group_name_Hall 'P 1'
loop_
_atom_site_label
_atom_site_fract_x
_atom_site_fract_y
_atom_site_fract_z
Ag1 0.000 0.324 0.353
S1 0.735 0.396 0.672
Pa1 0.000 0.000 0.000
Ag2 0.500 0.852 0.296
S2 0.265 0.604 0.328
S3 0.265 0.932 0.672
S4 0.213 0.271 0.000
Ag3 0.500 0.148 0.704
S5 0.787 0.729 0.000
Ag4 0.000 0.676 0.647
Ag5 0.500 0.500 0.000
S6 0.735 0.068 0.328
```

=====

No. 9
Entry from the Alexandria database: an optimized crystal structure of PaAgS3 (PBE-GGA).

Results
* D(E_F): 0.64 states/eV/f.u.
* E_tot: -59.58 eV/cell
* space-group type: No. 26
* total magnetization: 0.0 μB per formula unit
* relative energy among the computed polymorphs: 0 meV per atom

The structure in CIF format:
```
data_PaAgS3
_cell_length_a 3.936
_cell_length_b 8.335
_cell_length_c 6.720
_cell_angle_alpha 90.00
_cell_angle_beta 90.00
_cell_angle_gamma 90.00
_symmetry_space_group_name_H-M 'P 1'
_symmetry_Int_Tables_number 1
_symmetry_space_group_name_Hall 'P 1'
loop_
_atom_site_label
_atom_site_fract_x
_atom_site_fract_y
_atom_site_fract_z
S1 0.000 0.725 0.908
Ag1 0.500 0.138 0.217
Pa1 0.000 0.625 0.276
S2 0.500 0.468 0.073
S3 0.500 0.847 0.330
Pa2 0.000 0.375 0.776
S4 0.500 0.532 0.573
S5 0.500 0.153 0.830
S6 0.000 0.275 0.408
Ag2 0.500 0.862 0.717
```

=====

No. 10
Entry from the Alexandria database: an optimized crystal structure of PaAg3S4 (PBE-GGA).

Results
* E_tot: -78.96 eV/cell
* space-group type: No. 31
* total magnetization: 0.0 μB per formula unit
* relative energy among the computed polymorphs: 0 meV per atom

The structure in CIF format:
```
data_PaAg3S4
_cell_length_a 5.469
_cell_length_b 7.741
_cell_length_c 9.116
_cell_angle_alpha 90.00
_cell_angle_beta 90.00
_cell_angle_gamma 90.00
_symmetry_space_group_name_H-M 'P 1'
_symmetry_Int_Tables_number 1
_symmetry_space_group_name_Hall 'P 1'
loop_
_atom_site_label
_atom_site_fract_x
_atom_site_fract_y
_atom_site_fract_z
Ag1 0.065 0.155 0.500
Ag2 0.564 0.330 0.750
S1 0.565 0.159 0.500
Ag3 0.064 0.670 0.750
Ag4 0.565 0.845 0.000
S2 0.064 0.329 0.750
Pa1 0.065 0.174 0.000
Ag5 0.564 0.330 0.250
S3 0.565 0.176 0.000
S4 0.065 0.841 0.000
Ag6 0.064 0.670 0.250
S5 0.065 0.824 0.500
Pa2 0.565 0.826 0.500
S6 0.564 0.671 0.250
S7 0.064 0.329 0.250
S8 0.564 0.671 0.750
```

=====

No. 11
Entry from the Alexandria database: an optimized crystal structure of PaAgS3 (PBE-GGA).

Results
* D(E_F): 0.47 states/eV/f.u.
* E_tot: -28.47 eV/cell
* space-group type: No. 221
* total magnetization: 0.0 μB per formula unit
* relative energy among the computed polymorphs: 263 meV per atom

The structure in CIF format:
```
data_PaAgS3
_cell_length_a 5.204
_cell_length_b 5.204
_cell_length_c 5.204
_cell_angle_alpha 90.00
_cell_angle_beta 90.00
_cell_angle_gamma 90.00
_symmetry_space_group_name_H-M 'P 1'
_symmetry_Int_Tables_number 1
_symmetry_space_group_name_Hall 'P 1'
loop_
_atom_site_label
_atom_site_fract_x
_atom_site_fract_y
_atom_site_fract_z
S1 0.500 0.000 0.000
S2 0.000 0.500 0.000
Pa1 0.000 0.000 0.000
Ag1 0.500 0.500 0.500
S3 0.000 0.000 0.500
```

=====

No. 12
Entry from the Alexandria database: an optimized crystal structure of PaAgS3 (PBE-GGA).

Results
* E_tot: -59.46 eV/cell
* space-group type: No. 74
* total magnetization: 0.0 μB per formula unit
* relative energy among the computed polymorphs: 12 meV per atom

The structure in CIF format:
```
data_PaAgS3
_cell_length_a 5.328
_cell_length_b 7.573
_cell_length_c 7.573
_cell_angle_alpha 65.91
_cell_angle_beta 69.41
_cell_angle_gamma 69.41
_symmetry_space_group_name_H-M 'P 1'
_symmetry_Int_Tables_number 1
_symmetry_space_group_name_Hall 'P 1'
loop_
_atom_site_label
_atom_site_fract_x
_atom_site_fract_y
_atom_site_fract_z
S1 0.136 0.406 0.321
Ag1 0.500 0.500 0.500
Pa1 0.036 0.214 0.714
S2 0.864 0.179 0.094
Pa2 0.964 0.786 0.286
S3 0.864 0.594 0.679
Ag2 0.500 0.000 0.000
S4 0.607 0.143 0.643
S5 0.136 0.821 0.906
S6 0.393 0.857 0.357
```